No. 1
# Zr3Ga4Pt2

A relaxed Zr3Ga4Pt2 crystal (PBE, the Alexandria database).

abc: 5.381 5.381 8.394
angles: 116.90 116.90 49.05
Element x y z (fractional)
Zr (0.000, 0.000, 0.000)
Zr (0.338, 0.338, 0.326)
Zr (0.662, 0.662, 0.674)
Ga (0.087, 0.087, 0.419)
Ga (0.304, 0.304, 0.970)
Ga (0.696, 0.696, 0.030)
Ga (0.913, 0.913, 0.581)
Pt (0.388, 0.388, 0.723)
Pt (0.612, 0.612, 0.277)

As for the space group: C2/m, No. 12. For the magnetization, the calculation gives 0.00 Bohr magnetons per cell. Its crystal system is monoclinic. The value obtained for the formation energy is -792 meV per atom. The uncorrected energy is -6.33 eV/atom.



No. 2
# Li2TaCl

A relaxed Li2TaCl crystal (PBE, the Alexandria database).

abc: 2.962 2.962 7.975
angles: 90.00 90.00 90.00
Element x y z (fractional)
Li (0.000, 0.000, 0.000)
Li (0.500, 0.500, 0.298)
Ta (0.000, 0.000, 0.570)
Cl (0.500, 0.500, 0.791)

As for the space group: P4mm, No. 99. For the magnetization, the calculation gives 0.00 Bohr magnetons per cell. For the excess energy over the best structure of this formula in the dataset, the calculation gives 422 meV per atom. Its crystal system is tetragonal. The uncorrected energy is -4.34 eV/atom. For the raw formation energy, the calculation gives 0.172 eV per formula unit.



No. 3
# La3GaO

A relaxed La3GaO crystal (PBE, the Alexandria database).

abc: 9.111 9.111 6.441
angles: 94.16 94.16 96.89
Element x y z (fractional)
La (0.042, 0.770, 0.933)
La (0.179, 0.585, 0.401)
La (0.230, 0.958, 0.567)
La (0.311, 0.455, 0.895)
La (0.415, 0.821, 0.099)
La (0.455, 0.311, 0.395)
La (0.545, 0.689, 0.605)
La (0.585, 0.179, 0.901)
La (0.689, 0.545, 0.105)
La (0.770, 0.042, 0.433)
La (0.821, 0.415, 0.599)
La (0.958, 0.230, 0.067)
Ga (0.104, 0.259, 0.547)
Ga (0.259, 0.104, 0.047)
Ga (0.741, 0.896, 0.953)
Ga (0.896, 0.741, 0.453)
O (0.287, 0.713, 0.750)
O (0.433, 0.567, 0.250)
O (0.567, 0.433, 0.750)
O (0.713, 0.287, 0.250)

As for the space group: C2/c, No. 15. For the magnetization, the calculation gives 0.00 Bohr magnetons per cell. Its crystal system is monoclinic. The uncorrected energy is -5.81 eV/atom. For the raw formation energy, the calculation gives -6.275 eV per formula unit.



No. 4
# CaLa3Ir

A relaxed CaLa3Ir crystal (PBE, the Alexandria database).

abc: 6.547 10.311 9.671
angles: 90.00 90.00 90.00
Element x y z (fractional)
Ca (0.232, 0.250, 0.143)
Ca (0.268, 0.750, 0.643)
Ca (0.732, 0.250, 0.357)
Ca (0.768, 0.750, 0.857)
La (0.147, 0.044, 0.837)
La (0.147, 0.456, 0.837)
La (0.178, 0.250, 0.541)
La (0.322, 0.750, 0.041)
La (0.353, 0.544, 0.337)
La (0.353, 0.956, 0.337)
La (0.647, 0.044, 0.663)
La (0.647, 0.456, 0.663)
La (0.678, 0.250, 0.959)
La (0.822, 0.750, 0.459)
La (0.853, 0.544, 0.163)
La (0.853, 0.956, 0.163)
Ir (0.000, 0.000, 0.500)
Ir (0.000, 0.500, 0.500)
Ir (0.500, 0.000, 0.000)
Ir (0.500, 0.500, 0.000)

As for the space group: Pnma, No. 62. For the magnetization, the calculation gives 0.00 Bohr magnetons per cell. For the excess energy over the best structure of this formula in the dataset, the calculation gives 44 meV per atom. Its crystal system is orthorhombic. The value obtained for the formation energy is -306 meV per atom. The uncorrected energy is -5.43 eV/atom.



No. 5
# Na3InPd2O6

A relaxed Na3InPd2O6 crystal (PBE, the Alexandria database).

abc: 5.676 5.676 5.648
angles: 98.60 98.60 121.65
Element x y z (fractional)
Na (0.000, 0.000, 0.000)
Na (0.328, 0.672, 0.000)
Na (0.672, 0.328, 0.000)
In (0.500, 0.500, 0.500)
Pd (0.165, 0.835, 0.500)
Pd (0.835, 0.165, 0.500)
O (0.083, 0.417, 0.293)
O (0.236, 0.236, 0.718)
O (0.417, 0.083, 0.293)
O (0.583, 0.917, 0.707)
O (0.764, 0.764, 0.282)
O (0.917, 0.583, 0.707)

As for the space group: C2/m, No. 12. For the magnetization, the calculation gives 1.92 Bohr magnetons per cell. Its crystal system is monoclinic. The uncorrected energy is -4.98 eV/atom. For the raw formation energy, the calculation gives -12.890 eV per formula unit.



No. 6
# BaRu3N

A relaxed BaRu3N crystal (PBE, the Alexandria database).

abc: 5.130 5.130 5.130
angles: 90.00 90.00 90.00
Element x y z (fractional)
Ba (0.000, 0.000, 0.000)
Ru (0.000, 0.000, 0.500)
Ru (0.000, 0.500, 0.000)
Ru (0.500, 0.000, 0.000)
N (0.500, 0.500, 0.500)

As for the space group: Pm-3m, No. 221. For the magnetization, the calculation gives 7.49 Bohr magnetons per cell. For the excess energy over the best structure of this formula in the dataset, the calculation gives 3014 meV per atom. Its crystal system is cubic. The uncorrected energy is -3.93 eV/atom. For the raw formation energy, the calculation gives 18.405 eV per formula unit.